Entry 1:
This record from Alexandria via LeMat-Bulk describes a relaxed structure of LaP2OF. The functional is PBEsol. Values from VASP.

The structure in Quantum ESPRESSO input format:
```
&SYSTEM
  ibrav = 0, nat = 5, ntyp = 4
/
ATOMIC_SPECIES
P 30.97 P.upf
F 19.00 F.upf
O 16.00 O.upf
La 138.91 La.upf
ATOMIC_POSITIONS angstrom
P 0.000 0.000 2.926
P 0.000 2.926 0.000
F 2.107 2.926 2.926
O 2.107 0.000 0.000
La 0.000 0.000 0.000
CELL_PARAMETERS angstrom
4.215 0.000 0.000
0.000 5.851 0.000
0.000 0.000 5.851
```

* space group: P4/mmm (123)
* total magnetization: 0.867 μB per atom
* raw formation energy: 0.17 eV/atom

***

Entry 2:
This record from Alexandria via LeMat-Bulk describes a relaxed structure of Sc3Ir2. The functional is PBEsol. Values from VASP.

The structure in Quantum ESPRESSO input format:
```
&SYSTEM
  ibrav = 0, nat = 5, ntyp = 2
/
ATOMIC_SPECIES
Sc 44.96 Sc.upf
Ir 192.22 Ir.upf
ATOMIC_POSITIONS angstrom
Sc 0.000 0.000 0.000
Sc 0.203 -3.086 0.788
Sc -2.787 -3.470 0.012
Ir -1.600 -4.487 2.283
Ir -0.985 -2.069 -1.483
CELL_PARAMETERS angstrom
-2.226 -1.094 -3.710
3.282 -2.631 1.491
-3.640 -2.831 3.019
```

* space group: P-3m1 (164)
* total magnetization: 0.000 μB per atom
* formation energy from the elements: -0.82 eV per atom
* polymorph energy (0 for the lowest one): 0 meV/atom

***

Entry 3:
This record from Alexandria via LeMat-Bulk describes a relaxed structure of Tl2InIr. The functional is PBEsol. Values from VASP.

The structure in Quantum ESPRESSO input format:
```
&SYSTEM
  ibrav = 0, nat = 4, ntyp = 3
/
ATOMIC_SPECIES
In 114.82 In.upf
Ir 192.22 Ir.upf
Tl 204.38 Tl.upf
ATOMIC_POSITIONS angstrom
In -1.662 -0.668 3.671
Ir -2.140 1.246 1.841
Tl -0.341 -0.495 0.529
Tl -0.900 2.718 3.911
CELL_PARAMETERS angstrom
-2.777 0.704 -1.129
-0.611 -3.774 3.348
0.230 6.195 3.299
```

* space group: Cm (8)
* total magnetization: 0.000 μB per atom
* formation energy from the elements: 0.16 eV per atom
* polymorph energy (0 for the lowest one): 56 meV/atom

***

Entry 4:
This record from Alexandria via LeMat-Bulk describes a relaxed structure of MnAlF5. The functional is PBEsol. Values from VASP.

The structure in Quantum ESPRESSO input format:
```
&SYSTEM
  ibrav = 0, nat = 14, ntyp = 3
/
ATOMIC_SPECIES
Mn 54.94 Mn.upf
Al 26.98 Al.upf
F 19.00 F.upf
ATOMIC_POSITIONS angstrom
Mn 1.797 0.000 0.000
Mn 1.797 0.000 4.753
Al 1.797 2.906 2.377
Al 0.000 2.030 7.130
F 0.000 3.022 2.377
F 1.797 1.913 7.130
F 0.000 0.717 8.418
F 1.797 4.218 1.088
F 0.000 3.269 5.856
F 1.797 1.666 3.651
F 1.797 1.666 1.102
F 0.000 3.269 8.404
F 0.000 0.717 5.842
F 1.797 4.218 3.665
CELL_PARAMETERS angstrom
3.594 0.000 0.000
-1.797 4.935 0.000
0.000 0.000 9.507
```

* space group: Cmcm (63)
* total magnetization: 0.714 μB per atom
* raw formation energy: -2.99 eV/atom

***

Entry 5:
This record from Alexandria via LeMat-Bulk describes a relaxed structure of Sr2RuW. The functional is PBEsol. Values from VASP.

The structure in Quantum ESPRESSO input format:
```
&SYSTEM
  ibrav = 0, nat = 4, ntyp = 3
/
ATOMIC_SPECIES
Ru 101.07 Ru.upf
Sr 87.62 Sr.upf
W 183.84 W.upf
ATOMIC_POSITIONS angstrom
Ru -3.721 -0.610 0.591
Sr -0.551 0.226 0.385
Sr -6.426 0.498 2.478
W -3.160 1.294 2.205
CELL_PARAMETERS angstrom
-1.892 -0.012 -2.705
-0.855 -3.130 0.612
-7.408 3.033 5.168
```

* space group: P4mm (99)
* total magnetization: 0.000 μB per atom
* formation energy from the elements: 0.51 eV per atom

***

Entry 6:
This record from Alexandria via LeMat-Bulk describes a relaxed structure of MgZr2Pb. The functional is PBEsol. Values from VASP.

The structure in Quantum ESPRESSO input format:
```
&SYSTEM
  ibrav = 0, nat = 4, ntyp = 3
/
ATOMIC_SPECIES
Mg 24.30 Mg.upf
Pb 207.20 Pb.upf
Zr 91.22 Zr.upf
ATOMIC_POSITIONS angstrom
Mg 1.643 2.143 0.000
Pb 1.643 2.143 3.112
Zr 0.000 0.000 4.683
Zr 0.000 0.000 1.541
CELL_PARAMETERS angstrom
3.286 0.000 0.000
0.000 4.286 0.000
0.000 0.000 6.224
```

* space group: Pmmm (47)
* total magnetization: 0.000 μB per atom
* formation energy from the elements: -0.11 eV per atom

***

Entry 7:
This record from Alexandria via LeMat-Bulk describes a relaxed structure of MgCdCu2. The functional is PBEsol. Values from VASP.

The structure in Quantum ESPRESSO input format:
```
&SYSTEM
  ibrav = 0, nat = 4, ntyp = 3
/
ATOMIC_SPECIES
Mg 24.30 Mg.upf
Cu 63.55 Cu.upf
Cd 112.41 Cd.upf
ATOMIC_POSITIONS angstrom
Mg 0.000 0.000 3.045
Cu 0.000 0.000 0.249
Cu 1.524 1.524 1.434
Cd 1.524 1.524 5.173
CELL_PARAMETERS angstrom
3.048 0.000 0.000
0.000 3.048 0.000
0.000 0.000 6.601
```

* space group: P4mm (99)
* total magnetization: 0.000 μB per atom
* formation energy from the elements: -0.03 eV per atom

***

Entry 8:
This record from Alexandria via LeMat-Bulk describes a relaxed structure of Co2NiSe4. The functional is PBEsol. Values from VASP.

The structure in Quantum ESPRESSO input format:
```
&SYSTEM
  ibrav = 0, nat = 7, ntyp = 3
/
ATOMIC_SPECIES
Ni 58.69 Ni.upf
Co 58.93 Co.upf
Se 78.96 Se.upf
ATOMIC_POSITIONS angstrom
Ni 0.000 0.000 0.000
Co 0.389 -2.786 -3.167
Co -0.235 -2.647 0.097
Se -1.073 -3.881 -1.675
Se 1.228 -1.551 -1.395
Se 1.969 -2.089 -4.806
Se -1.815 -3.343 1.737
CELL_PARAMETERS angstrom
-2.583 0.140 -2.430
4.074 -0.924 -4.385
-1.336 -4.648 3.745
```

* space group: C2/m (12)
* total magnetization: 0.000 μB per atom
* raw formation energy: -0.34 eV/atom

***

| no. | density (g cm⁻³) | E (hartree per atom) |
| --- | --- | --- |
| 1 | 2.7 | -0.171 |
| 2 | 9.1 | -0.320 |
| 3 | 12.2 | -0.160 |
| 4 | 3.5 | -0.233 |
| 5 | 7.4 | -0.235 |
| 6 | 7.8 | -0.224 |
| 7 | 7.1 | -0.107 |
| 8 | 7.5 | -0.207 |